# 1
Computed, not measured: crystalline RbCuPb3 at its relaxed geometry at the PBE level of DFT.

The structure in extended XYZ format:
```
5
Lattice="5.494 0.000 0.000 0.000 5.494 0.000 0.000 0.000 5.494" Properties=species:S:1:pos:R:3 pbc="T T T"
Rb 0.000 0.000 0.000
Cu 2.747 2.747 2.747
Pb 0.000 2.747 2.747
Pb 2.747 0.000 2.747
Pb 2.747 2.747 0.000
```

Output
Its energy above the most stable polymorph in this dataset is 0.000 eV per atom. The calculation puts the electronic total energy at -3.093 eV/atom. As for the magnetic moment: 0.00 μB/f.u. Its density of states at the Fermi level is 3.92 states/eV/f.u. As for the energy relative to the elements: 145 meV per atom.



# 2
Computed, not measured: crystalline Tm3PaAl8 at its relaxed geometry at the PBE level of DFT.

The structure in extended XYZ format:
```
12
Lattice="5.487 0.000 0.000 -2.744 4.752 0.000 0.000 0.000 9.112" Properties=species:S:1:pos:R:3 pbc="T T T"
Tm 0.000 0.000 0.000
Tm 0.000 0.000 3.364
Tm 0.000 3.168 7.858
Pa 0.000 3.168 4.566
Al -1.338 2.396 1.686
Al 1.345 0.776 6.230
Al 1.338 2.396 1.686
Al 0.000 4.713 1.686
Al 2.744 1.584 3.941
Al 2.744 1.584 8.558
Al 4.143 0.776 6.230
Al 2.744 3.199 6.230
```

Output
The calculation puts the electronic total energy at -4.821 eV/atom. As for the magnetic moment: 0.00 μB/f.u. Its density of states at the Fermi level is 9.16 states/eV/f.u. As for the energy relative to the elements: -417 meV per atom.



# 3
Computed, not measured: crystalline MgNiHRh2 at its relaxed geometry at the PBE level of DFT.

The structure in extended XYZ format:
```
5
Lattice="3.871 0.000 0.000 0.000 3.871 0.000 0.000 0.000 3.894" Properties=species:S:1:pos:R:3 pbc="T T T"
Mg 0.000 0.000 0.000
Ni 1.935 1.935 0.000
H 0.000 0.000 1.947
Rh 0.000 1.935 1.947
Rh 1.935 0.000 1.947
```

Output
Its energy above the most stable polymorph in this dataset is 0.081 eV per atom. The calculation puts the electronic total energy at -5.223 eV/atom. As for the magnetic moment: 0.00 μB/f.u. Its density of states at the Fermi level is 4.44 states/eV/f.u.



# 4
Computed, not measured: crystalline PmPr2Ho7 at its relaxed geometry at the PBE level of DFT.

The structure in extended XYZ format:
```
10
Lattice="3.262 -14.480 0.000 3.262 14.480 0.000 0.000 0.000 3.518" Properties=species:S:1:pos:R:3 pbc="T T T"
Pm 0.000 0.000 0.000
Pr 3.262 6.004 1.759
Pr 3.262 -6.004 1.759
Ho 1.610 2.849 1.759
Ho 3.262 9.132 0.000
Ho 1.610 -2.849 1.759
Ho 3.262 0.000 1.759
Ho 4.913 2.849 1.759
Ho 3.262 -9.132 0.000
Ho 4.913 -2.849 1.759
```

Output
Its energy above the most stable polymorph in this dataset is 0.144 eV per atom. The calculation puts the electronic total energy at -4.473 eV/atom. As for the magnetic moment: 0.00 μB/f.u. Its density of states at the Fermi level is 16.86 states/eV/f.u. As for the energy relative to the elements: 162 meV per atom.



# 5
Computed, not measured: crystalline Nd2PuRu at its relaxed geometry at the PBE level of DFT.

The structure in extended XYZ format:
```
4
Lattice="1.769 1.021 10.745 -1.769 1.021 10.745 0.000 -2.042 10.745" Properties=species:S:1:pos:R:3 pbc="T T T"
Nd 0.000 0.000 3.381
Nd 0.000 0.000 28.852
Pu 0.000 0.000 0.000
Ru 0.000 0.000 16.117
```

Output
Its energy above the most stable polymorph in this dataset is 0.300 eV per atom. The calculation puts the electronic total energy at -7.962 eV/atom. As for the magnetic moment: 6.16 μB/f.u. Its density of states at the Fermi level is 13.02 states/eV/f.u. As for the energy relative to the elements: 324 meV per atom.



# 6
Computed, not measured: crystalline PmY2Al2 at its relaxed geometry at the PBE level of DFT.

The structure in extended XYZ format:
```
10
Lattice="3.145 -8.097 0.000 3.145 8.097 0.000 0.000 0.000 5.523" Properties=species:S:1:pos:R:3 pbc="T T T"
Pm 0.000 0.000 0.000
Pm 0.000 0.000 2.761
Y 3.145 4.869 4.142
Y 3.145 1.427 1.381
Y 3.145 -1.427 4.142
Y 3.145 -4.869 1.381
Al 1.700 2.199 4.142
Al 1.700 -2.199 1.381
Al 4.590 2.199 4.142
Al 4.590 -2.199 1.381
```

Output
Its energy above the most stable polymorph in this dataset is 0.236 eV per atom. The calculation puts the electronic total energy at -5.105 eV/atom. As for the magnetic moment: 0.00 μB/f.u. Its density of states at the Fermi level is 4.44 states/eV/f.u. As for the energy relative to the elements: -72 meV per atom.



# 7
Computed, not measured: crystalline Pm2CuI at its relaxed geometry at the PBE level of DFT.

The structure in extended XYZ format:
```
4
Lattice="2.073 1.197 7.951 -2.073 1.197 7.951 0.000 -2.393 7.951" Properties=species:S:1:pos:R:3 pbc="T T T"
Pm 0.000 0.000 0.000
Pm 0.000 0.000 4.765
Cu 0.000 0.000 14.317
I 0.000 0.000 10.317
```

Output
Its energy above the most stable polymorph in this dataset is 0.002 eV per atom. The calculation puts the electronic total energy at -4.285 eV/atom. As for the magnetic moment: 0.00 μB/f.u. Its density of states at the Fermi level is 4.19 states/eV/f.u.



# 8
Computed, not measured: crystalline Tb5Er12Th2 at its relaxed geometry at the PBE level of DFT.

The structure in extended XYZ format:
```
19
Lattice="7.749 -4.662 0.000 7.749 4.662 0.000 -0.282 0.000 8.480" Properties=species:S:1:pos:R:3 pbc="T T T"
Tb 0.000 0.000 0.000
Tb 3.574 0.000 0.624
Tb 4.541 0.000 4.101
Tb 10.675 0.000 4.379
Tb 11.642 0.000 7.856
Er 5.328 2.996 2.180
Er 1.175 0.000 3.229
Er 5.526 1.784 7.117
Er 9.888 2.996 6.300
Er 9.689 1.784 1.363
Er 6.817 0.000 1.461
Er 8.398 0.000 7.019
Er 5.526 -1.784 7.117
Er 5.328 -2.996 2.180
Er 9.689 -1.784 1.363
Er 14.041 0.000 5.251
Er 9.888 -2.996 6.300
Th 7.608 1.651 4.240
Th 7.608 -1.651 4.240
```

Output
Its energy above the most stable polymorph in this dataset is 0.026 eV per atom. The calculation puts the electronic total energy at -4.733 eV/atom. As for the magnetic moment: 0.00 μB/f.u. Its density of states at the Fermi level is 27.89 states/eV/f.u. As for the energy relative to the elements: 148 meV per atom.



Please write out number 6 again, unchanged.
Computed, not measured: crystalline PmY2Al2 at its relaxed geometry at the PBE level of DFT.

The structure in extended XYZ format:
```
10
Lattice="3.145 -8.097 0.000 3.145 8.097 0.000 0.000 0.000 5.523" Properties=species:S:1:pos:R:3 pbc="T T T"
Pm 0.000 0.000 0.000
Pm 0.000 0.000 2.761
Y 3.145 4.869 4.142
Y 3.145 1.427 1.381
Y 3.145 -1.427 4.142
Y 3.145 -4.869 1.381
Al 1.700 2.199 4.142
Al 1.700 -2.199 1.381
Al 4.590 2.199 4.142
Al 4.590 -2.199 1.381
```

Output
Its energy above the most stable polymorph in this dataset is 0.236 eV per atom. The calculation puts the electronic total energy at -5.105 eV/atom. As for the magnetic moment: 0.00 μB/f.u. Its density of states at the Fermi level is 4.44 states/eV/f.u. As for the energy relative to the elements: -72 meV per atom.



- Which of these has the lowest electronic total energy?
  Nd2PuRu



Repeat the third record exactly.
Computed, not measured: crystalline MgNiHRh2 at its relaxed geometry at the PBE level of DFT.

The structure in extended XYZ format:
```
5
Lattice="3.871 0.000 0.000 0.000 3.871 0.000 0.000 0.000 3.894" Properties=species:S:1:pos:R:3 pbc="T T T"
Mg 0.000 0.000 0.000
Ni 1.935 1.935 0.000
H 0.000 0.000 1.947
Rh 0.000 1.935 1.947
Rh 1.935 0.000 1.947
```

Output
Its energy above the most stable polymorph in this dataset is 0.081 eV per atom. The calculation puts the electronic total energy at -5.223 eV/atom. As for the magnetic moment: 0.00 μB/f.u. Its density of states at the Fermi level is 4.44 states/eV/f.u.